Arrangement A

NaAc2Gd | PBE | optimized geometry

Cell: 3.8096 3.8096 40.2643 Å, 90.00 90.00 120.00°
Closest atoms and distances in Å follow each position.
Space group R-3m (No. 166, hexagonal axes)
Symmetry-distinct sites (fractional):
Na 0.0000 0.0000 0.0000  2 Ac 3.71, 6 Na 3.81
Ac 0.0000 0.0000 0.0921  1 Na 3.71, 3 Gd 3.72, 6 Ac 3.81
Gd 0.0000 0.0000 0.5000  6 Ac 3.72, 6 Gd 3.81

---

Arrangement B

NaAc2Gd | PBE | optimized geometry

Cell: 8.5683 8.5683 8.5683 Å, 90.00 90.00 90.00°
Closest atoms and distances in Å follow each position.
Space group Fm-3m (No. 225)
Symmetry-distinct sites (fractional):
Na 0.0000 0.0000 0.0000  8 Ac 3.71
Ac 0.2500 0.2500 0.2500  4 Gd 3.71, 4 Na 3.71
Gd 0.0000 0.0000 0.5000  8 Ac 3.71

---

Arrangement C

NaAc2Gd | PBE | optimized geometry

Cell: 3.8236 3.8236 11.0680 Å, 90.00 90.00 90.00°
Closest atoms and distances in Å follow each position.
Space group P4/mmm (No. 123)
Symmetry-distinct sites (fractional):
Na 0.0000 0.0000 0.0000  4 Na 3.82, 8 Ac 3.99
Ac 0.5000 0.5000 0.2646  4 Gd 3.75, 4 Ac 3.82, 4 Na 3.99
Gd 0.0000 0.0000 0.5000  8 Ac 3.75, 4 Gd 3.82

---

Most stable: arrangement C

---

Arrangement A

NaAcGd | PBE | optimized geometry

Cell: 3.7674 3.7674 16.3508 Å, 90.00 90.00 90.00°
Closest atoms and distances in Å follow each position.
Space group I4mm (No. 107)
Symmetry-distinct sites (fractional):
Na 0.0000 0.0000 0.0000  4 Na 3.77, 4 Gd 3.78, 4 Ac 3.97
Ac 0.0000 0.0000 0.6802  4 Gd 3.69, 4 Ac 3.77, 4 Na 3.97
Gd 0.0000 0.0000 0.3362  4 Ac 3.69, 4 Gd 3.77, 4 Na 3.78

---

Arrangement B

NaAcGd | PBE | optimized geometry

Cell: 3.7859 3.7859 9.4129 Å, 90.00 90.00 120.00°
Closest atoms and distances in Å follow each position.
Space group P3m1 (No. 156)
Symmetry-distinct sites (fractional):
Na 0.0000 0.0000 0.0000  6 Na 3.79, 3 Gd 3.81, 3 Ac 4.00
Ac 0.6667 0.3333 0.3559  3 Gd 3.66, 6 Ac 3.79, 3 Na 4.00
Gd 0.3333 0.6667 0.6682  3 Ac 3.66, 6 Gd 3.79, 3 Na 3.81

---

Most stable: arrangement B

---

Arrangement A

AcNd2Gd | PBE | optimized geometry

Cell: 8.4005 8.4005 8.4005 Å, 90.00 90.00 90.00°
Closest atoms and distances in Å follow each position.
Space group Fm-3m (No. 225)
Symmetry-distinct sites (fractional):
Ac 0.0000 0.0000 0.0000  8 Nd 3.64
Nd 0.2500 0.2500 0.2500  4 Gd 3.64, 4 Ac 3.64
Gd 0.0000 0.0000 0.5000  8 Nd 3.64

---

Arrangement B

AcNd2Gd | PBE | optimized geometry

Cell: 5.2699 5.2699 5.2919 Å, 90.00 90.00 90.00°
Closest atoms and distances in Å follow each position.
Space group P4/mmm (No. 123)
Symmetry-distinct sites (fractional):
Ac 0.0000 0.0000 0.0000  4 Gd 3.73, 8 Nd 3.73
Nd 0.0000 0.5000 0.5000  4 Nd 3.73, 4 Gd 3.73, 4 Ac 3.73
Gd 0.5000 0.5000 0.0000  4 Ac 3.73, 8 Nd 3.73

---

Arrangement C

AcNd2Gd | PBE | optimized geometry

Cell: 3.6554 3.6554 38.9344 Å, 90.00 90.00 120.00°
Closest atoms and distances in Å follow each position.
Space group R-3m (No. 166, hexagonal axes)
Symmetry-distinct sites (fractional):
Ac 0.0000 0.0000 0.0000  2 Nd 3.58, 6 Ac 3.66
Nd 0.0000 0.0000 0.0920  1 Ac 3.58, 3 Gd 3.59, 6 Nd 3.66
Gd 0.0000 0.0000 0.5000  6 Nd 3.59, 6 Gd 3.66

---

Arrangement D

AcNd2Gd | PBE | optimized geometry

Cell: 3.7713 3.7713 10.3843 Å, 90.00 90.00 90.00°
Closest atoms and distances in Å follow each position.
Space group P4/mmm (No. 123)
Symmetry-distinct sites (fractional):
Ac 0.0000 0.0000 0.0000  4 Ac 3.77, 8 Nd 3.82
Nd 0.5000 0.5000 0.2627  4 Gd 3.63, 4 Nd 3.77, 4 Ac 3.82
Gd 0.0000 0.0000 0.5000  8 Nd 3.63, 4 Gd 3.77

---

Most stable: arrangement B

---

Arrangement A

AcGdO2 | PBE | optimized geometry

Cell: 3.6093 3.6093 18.4284 Å, 90.00 90.00 120.00°
Closest atoms and distances in Å follow each position.
Space group R-3m (No. 166, hexagonal axes)
Symmetry-distinct sites (fractional):
Ac 0.0000 0.0000 0.0000  6 O 2.79
Gd 0.0000 0.0000 0.5000  6 O 2.41
O 0.0000 0.0000 0.2323  3 Gd 2.41

---

Arrangement B

AcGdO2 | PBE | optimized geometry

Cell: 3.1908 3.1908 6.3208 Å, 90.00 90.00 90.00°
Closest atoms and distances in Å follow each position.
Space group P4/mmm (No. 123)
Symmetry-distinct sites (fractional):
Ac 0.0000 0.0000 0.0000  8 O 2.80
Gd 0.0000 0.0000 0.5000  8 O 2.71
O 0.5000 0.5000 0.2624  4 Gd 2.71, 4 Ac 2.80, 1 O 3.00

---

Most stable: arrangement A

---

Arrangement A

AcGdOs | PBE | optimized geometry

Cell: 7.0743 7.0743 7.0743 Å, 90.00 90.00 90.00°
Closest atoms and distances in Å follow each position.
Space group F-43m (No. 216)
Symmetry-distinct sites (fractional):
Ac 0.0000 0.0000 0.0000  4 Os 3.06
Gd 0.0000 0.0000 0.5000  4 Os 3.06
Os 0.2500 0.2500 0.7500  4 Gd 3.06, 4 Ac 3.06

---

Arrangement B

AcGdOs | PBE | optimized geometry

Cell: 3.5648 3.5648 14.0027 Å, 90.00 90.00 90.00°
Closest atoms and distances in Å follow each position.
Space group I4mm (No. 107)
Symmetry-distinct sites (fractional):
Ac 0.0000 0.0000 0.0000  4 Os 3.14, 1 Gd 3.45
Gd 0.0000 0.0000 0.7539  4 Os 2.97
Os 0.0000 0.0000 0.3659  4 Gd 2.97, 4 Ac 3.14

---

Most stable: arrangement A

---

Arrangement A

AcGd2Os | PBE | optimized geometry

Cell: 4.0448 4.0448 28.3973 Å, 90.00 90.00 120.00°
Closest atoms and distances in Å follow each position.
Space group R-3m (No. 166, hexagonal axes)
Symmetry-distinct sites (fractional):
Ac 0.0000 0.0000 0.0000  6 Gd 4.00, 6 Ac 4.04
Gd 0.0000 0.0000 0.2191  3 Os 2.77
Os 0.0000 0.0000 0.5000  6 Gd 2.77

---

Arrangement B

AcGd2Os | PBE | optimized geometry

Cell: 3.5204 3.5204 9.5674 Å, 90.00 90.00 90.00°
Closest atoms and distances in Å follow each position.
Space group P4/mmm (No. 123)
Symmetry-distinct sites (fractional):
Ac 0.0000 0.0000 0.0000  4 Ac 3.52
Gd 0.5000 0.5000 0.3283  4 Os 2.98, 1 Gd 3.28
Os 0.0000 0.0000 0.5000  8 Gd 2.98

---

Most stable: arrangement B

---

Arrangement A

AcGd2Pb | PBE | optimized geometry

Cell: 5.0885 5.0885 5.0054 Å, 90.00 90.00 90.00°
Closest atoms and distances in Å follow each position.
Space group P4/mmm (No. 123)
Symmetry-distinct sites (fractional):
Ac 0.0000 0.0000 0.0000  8 Gd 3.57, 4 Pb 3.60
Gd 0.0000 0.5000 0.5000  4 Ac 3.57, 4 Pb 3.57, 4 Gd 3.60
Pb 0.5000 0.5000 0.0000  8 Gd 3.57, 4 Ac 3.60

---

Arrangement B

AcGd2Pb | PBE | optimized geometry

Cell: 8.0200 8.0200 8.0200 Å, 90.00 90.00 90.00°
Closest atoms and distances in Å follow each position.
Space group Fm-3m (No. 225)
Symmetry-distinct sites (fractional):
Ac 0.0000 0.0000 0.0000  8 Gd 3.47
Gd 0.2500 0.2500 0.2500  4 Ac 3.47, 4 Pb 3.47
Pb 0.0000 0.0000 0.5000  8 Gd 3.47

---

Most stable: arrangement A